RbN3Cl12: relaxed, PBE-GGA.

a = 11.894 Å, b = 11.894 Å, c = 13.722 Å
α = 64.32°, β = 64.32°, γ = 60.00°
Atoms (fractional coordinates):
Rb (0.107, 0.107, 0.680)
Rb (0.607, 0.607, 0.180)
N (0.703, 0.277, 0.992)
N (0.203, 0.528, 0.492)
N (0.777, 0.203, 0.492)
N (0.277, 0.028, 0.992)
N (0.028, 0.703, 0.992)
N (0.528, 0.777, 0.492)
Cl (0.131, 0.154, 0.042)
Cl (0.393, 0.123, 0.621)
Cl (0.911, 0.067, 0.546)
Cl (0.771, 0.325, 0.843)
Cl (0.271, 0.560, 0.343)
Cl (0.411, 0.976, 0.046)
Cl (0.893, 0.363, 0.121)
Cl (0.067, 0.476, 0.546)
Cl (0.631, 0.173, 0.542)
Cl (0.863, 0.393, 0.621)
Cl (0.825, 0.271, 0.343)
Cl (0.173, 0.654, 0.542)
Cl (0.976, 0.567, 0.046)
Cl (0.673, 0.131, 0.042)
Cl (0.325, 0.060, 0.843)
Cl (0.363, 0.623, 0.121)
Cl (0.623, 0.893, 0.121)
Cl (0.567, 0.411, 0.046)
Cl (0.654, 0.631, 0.542)
Cl (0.060, 0.771, 0.843)
Cl (0.560, 0.825, 0.343)
Cl (0.154, 0.673, 0.042)
Cl (0.123, 0.863, 0.621)
Cl (0.476, 0.911, 0.546)

formation energy from raw total energies = 171 meV per atom
crystal system = trigonal
energy = -2.835 eV/atom